1.
# ScInOs2, optimized geometry, DFT PBE
# total magnetization: 0.00 μB/f.u.
# energy of formation from the pure elements: 1.12 eV per formula unit
data_ScInOs2
_chemical_formula_sum 'Sc2 In2 Os4'
_symmetry_space_group_name_H-M 'C m m m'
_symmetry_Int_Tables_number 65
_symmetry_space_group_name_Hall '-C 2 2'
_cell_length_a 3.1290
_cell_length_b 4.8469
_cell_length_c 9.0087
_cell_angle_alpha 90.00
_cell_angle_beta 90.00
_cell_angle_gamma 90.00
loop_
_atom_site_label
_atom_site_fract_x
_atom_site_fract_y
_atom_site_fract_z
Sc1 0.0000 0.0000 0.0000
In1 0.0000 0.0000 0.5000
Os1 0.0000 0.5000 0.2410

2.
# SrPr2OsN4, optimized geometry, DFT PBE
# total magnetization: 0.00 μB/f.u.
# energy relative to the elements, uncorrected: -0.65 eV/atom
data_SrPr2OsN4
_chemical_formula_sum 'Sr4 Pr8 Os4 N16'
_symmetry_space_group_name_H-M 'C m c m'
_symmetry_Int_Tables_number 63
_symmetry_space_group_name_Hall '-C 2c 2'
_cell_length_a 3.6099
_cell_length_b 12.4208
_cell_length_c 12.5914
_cell_angle_alpha 90.00
_cell_angle_beta 90.00
_cell_angle_gamma 90.00
loop_
_atom_site_label
_atom_site_fract_x
_atom_site_fract_y
_atom_site_fract_z
Sr1 0.0000 0.0661 0.2500
Pr1 0.0000 0.3691 0.0421
Os1 0.0000 0.1896 0.7500
N1 0.0000 0.0000 0.0000
N2 0.0000 0.2598 0.6172
N3 0.0000 0.3903 0.2500

3.
# Sm2YTh, optimized geometry, DFT PBE
# total magnetization: 0.00 μB/f.u.
# energy of formation from the pure elements: 0.78 eV per formula unit
data_Sm2YTh
_chemical_formula_sum 'Sm8 Y4 Th4'
_symmetry_space_group_name_H-M 'F m -3 m'
_symmetry_Int_Tables_number 225
_symmetry_space_group_name_Hall '-F 4 2 3'
_cell_length_a 8.1026
_cell_length_b 8.1026
_cell_length_c 8.1026
_cell_angle_alpha 90.00
_cell_angle_beta 90.00
_cell_angle_gamma 90.00
loop_
_atom_site_label
_atom_site_fract_x
_atom_site_fract_y
_atom_site_fract_z
Sm1 0.2500 0.2500 0.2500
Y1 0.0000 0.0000 0.0000
Th1 0.0000 0.0000 0.5000

Number 1: N(E_F) 1.071 states/eV per atom. Number 2: N(E_F) 0.390 states/eV per atom. Number 3: N(E_F) 2.655 states/eV per atom.